Here is a relaxed CsSmPa crystal from OQMD via LeMat-Bulk. Energies are from GGA-PBE.

abc: 8.2240 8.2240 8.2240
angles: 90.00 90.00 90.00
Space group F-43m (No. 216)
Asymmetric unit:
Cs1 0.0000 0.0000 0.0000 x4
Sm1 0.0000 0.0000 0.5000 x4
Pa1 0.2500 0.2500 0.2500 x4

energy relative to the lowest polymorph listed for this composition = 9 meV per atom
DFT total energy = -3.18 eV/atom

=====

Here is a relaxed CsSmPa crystal from OQMD via LeMat-Bulk. Energies are from GGA-PBE.

abc: 7.5793 7.5793 7.5793
angles: 90.00 90.00 90.00
Space group F-43m (No. 216)
Asymmetric unit:
Cs1 0.0000 0.0000 0.0000 x4
Sm1 0.2500 0.2500 0.2500 x4
Pa1 0.2500 0.2500 0.7500 x4

energy relative to the lowest polymorph listed for this composition = 0 meV per atom
DFT total energy = -3.19 eV/atom

=====

Here is a relaxed CsPaSn crystal from OQMD via LeMat-Bulk. Energies are from GGA-PBE.

abc: 7.6998 7.6998 7.6998
angles: 90.00 90.00 90.00
Space group F-43m (No. 216)
Asymmetric unit:
Cs1 0.0000 0.0000 0.0000 x4
Pa1 0.2500 0.2500 0.2500 x4
Sn1 0.0000 0.0000 0.5000 x4

energy relative to the lowest polymorph listed for this composition = 0 meV per atom
DFT total energy = -3.82 eV/atom

=====

Look up the DFT total energy of the first one.
-3.18 eV/atom

=====

DFT total energy of number 2 (CsSmPa)?
-3.19 eV/atom

=====

The lowest DFT total energy belongs to which entry?
CsPaSn

=====

What is the DFT total energy in the third record?
-3.82 eV/atom